Version w
# PBE-GGA ThCo6, optimized geometry
# **Total magnetic moment**: 0.00 μB per cell
# **ρ**: 8.822 Mg/m³
data_ThCo6
_symmetry_space_group_name_H-M 'P 1'
_symmetry_Int_Tables_number 1
_cell_length_a 5.232
_cell_length_b 5.232
_cell_length_c 5.232
_cell_angle_alpha 109.47
_cell_angle_beta 109.47
_cell_angle_gamma 109.47
loop_
_symmetry_equiv_pos_as_xyz
'x,y,z'
loop_
_atom_site_label
_atom_site_type_symbol
_atom_site_fract_x
_atom_site_fract_y
_atom_site_fract_z
Th1 Th 0.000 0.000 0.000
Co1 Co 0.250 0.500 0.750
Co2 Co 0.250 0.750 0.500
Co3 Co 0.500 0.250 0.750
Co4 Co 0.500 0.750 0.250
Co5 Co 0.750 0.250 0.500
Co6 Co 0.750 0.500 0.250


Version x
# PBE-GGA ThCo6, optimized geometry
# **Total magnetic moment**: 30.85 μB per cell
# **ρ**: 10.208 Mg/m³
data_ThCo6
_symmetry_space_group_name_H-M 'P 1'
_symmetry_Int_Tables_number 1
_cell_length_a 7.861
_cell_length_b 4.851
_cell_length_c 9.991
_cell_angle_alpha 90.00
_cell_angle_beta 90.00
_cell_angle_gamma 90.00
loop_
_symmetry_equiv_pos_as_xyz
'x,y,z'
loop_
_atom_site_label
_atom_site_type_symbol
_atom_site_fract_x
_atom_site_fract_y
_atom_site_fract_z
Th1 Th 0.241 0.250 0.057
Th2 Th 0.259 0.750 0.557
Th3 Th 0.741 0.250 0.443
Th4 Th 0.759 0.750 0.943
Co1 Co 0.067 0.750 0.094
Co2 Co 0.069 0.009 0.308
Co3 Co 0.069 0.491 0.308
Co4 Co 0.102 0.250 0.523
Co5 Co 0.142 0.750 0.850
Co6 Co 0.183 0.250 0.757
Co7 Co 0.317 0.750 0.257
Co8 Co 0.358 0.250 0.350
Co9 Co 0.398 0.750 0.023
Co10 Co 0.431 0.509 0.808
Co11 Co 0.431 0.991 0.808
Co12 Co 0.433 0.250 0.594
Co13 Co 0.567 0.750 0.406
Co14 Co 0.569 0.009 0.192
Co15 Co 0.569 0.491 0.192
Co16 Co 0.602 0.250 0.977
Co17 Co 0.642 0.750 0.650
Co18 Co 0.683 0.250 0.743
Co19 Co 0.817 0.750 0.243
Co20 Co 0.858 0.250 0.150
Co21 Co 0.898 0.750 0.477
Co22 Co 0.931 0.509 0.692
Co23 Co 0.931 0.991 0.692
Co24 Co 0.933 0.250 0.906


Most stable: version x